First-principles (PBE) data for a relaxed RbCa3Cu4I12 crystal, as listed in Alexandria via LeMat-Bulk.

Calculated values
Size of the total moment in μB per cell: 1.02
Crystal system: trigonal
Raw total energy in eV for the cell shown: -59.4
Uncorrected formation energy in meV per atom: -871
Density of states at the Fermi level in states/eV per atom: 0.790
Calculated volume in Å³ per atom: 44.03
Space-group type: R32 (155)

abc: 10.027 10.027 10.027
angles: 105.04 105.04 105.04
Fractional coordinates of all 20 atoms:
Rb 0.000 0.000 0.000
Ca 0.000 0.559 0.441
Ca 0.441 0.000 0.559
Ca 0.559 0.441 0.000
Cu 0.071 0.500 0.929
Cu 0.500 0.500 0.500
Cu 0.500 0.929 0.071
Cu 0.929 0.071 0.500
I 0.026 0.651 0.771
I 0.093 0.907 0.500
I 0.229 0.349 0.974
I 0.341 0.659 0.500
I 0.349 0.974 0.229
I 0.500 0.093 0.907
I 0.500 0.341 0.659
I 0.651 0.771 0.026
I 0.659 0.500 0.341
I 0.771 0.026 0.651
I 0.907 0.500 0.093
I 0.974 0.229 0.349

=====

First-principles (PBE) data for a relaxed Pa3Te2Se crystal, as listed in Alexandria via LeMat-Bulk.

Calculated values
Size of the total moment in μB per cell: 4.42
Crystal system: orthorhombic
Raw total energy in eV for the cell shown: -86.0
Uncorrected formation energy in meV per atom: -787
Density of states at the Fermi level in states/eV per atom: 2.271
Calculated volume in Å³ per atom: 27.17
Space-group type: Immm (71)

abc: 4.042 6.018 13.405
angles: 90.00 90.00 90.00
Fractional coordinates of all 12 atoms:
Pa 0.000 0.000 0.000
Pa 0.000 0.000 0.352
Pa 0.000 0.000 0.648
Pa 0.500 0.500 0.148
Pa 0.500 0.500 0.500
Pa 0.500 0.500 0.852
Te 0.000 0.500 0.324
Te 0.000 0.500 0.676
Te 0.500 0.000 0.176
Te 0.500 0.000 0.824
Se 0.000 0.500 0.000
Se 0.500 0.000 0.500

=====

First-principles (PBE) data for a relaxed KLi3Tl3 crystal, as listed in Alexandria via LeMat-Bulk.

Calculated values
Size of the total moment in μB per cell: 0.00
Crystal system: cubic
Raw total energy in eV for the cell shown: -26.7
Density of states at the Fermi level in states/eV per atom: 0.399
Calculated volume in Å³ per atom: 31.64
Formation enthalpy at 0 K in kJ/mol of formula units: 55
Space-group type: Pm-3n (223)

abc: 7.623 7.623 7.623
angles: 90.00 90.00 90.00
Fractional coordinates of all 14 atoms:
K 0.000 0.000 0.000
K 0.500 0.500 0.500
Li 0.000 0.250 0.500
Li 0.000 0.750 0.500
Li 0.250 0.500 0.000
Li 0.500 0.000 0.250
Li 0.500 0.000 0.750
Li 0.750 0.500 0.000
Tl 0.000 0.500 0.250
Tl 0.000 0.500 0.750
Tl 0.250 0.000 0.500
Tl 0.500 0.250 0.000
Tl 0.500 0.750 0.000
Tl 0.750 0.000 0.500

=====

First-principles (PBE) data for a relaxed TcRu2S2 crystal, as listed in Alexandria via LeMat-Bulk.

Calculated values
Size of the total moment in μB per cell: 6.23
Crystal system: tetragonal
Raw total energy in eV for the cell shown: -70.3
Uncorrected formation energy in meV per atom: 400
Density of states at the Fermi level in states/eV per atom: 0.358
Calculated volume in Å³ per atom: 15.86
Space-group type: I4/mmm (139)

abc: 3.936 3.936 10.235
angles: 90.00 90.00 90.00
Fractional coordinates of all 10 atoms:
Tc 0.000 0.000 0.000
Tc 0.500 0.500 0.500
Ru 0.000 0.500 0.250
Ru 0.000 0.500 0.750
Ru 0.500 0.000 0.250
Ru 0.500 0.000 0.750
S 0.000 0.000 0.369
S 0.000 0.000 0.631
S 0.500 0.500 0.131
S 0.500 0.500 0.869

=====

First-principles (PBE) data for a relaxed LiAcTlNi crystal, as listed in Alexandria via LeMat-Bulk.

Calculated values
Size of the total moment in μB per cell: 0.00
Crystal system: cubic
Raw total energy in eV for the cell shown: -58.5
Density of states at the Fermi level in states/eV per atom: 1.485
Calculated volume in Å³ per atom: 22.22
Formation enthalpy at 0 K in kJ/mol of formula units: -44
Space-group type: F-43m (216)

abc: 7.085 7.085 7.085
angles: 90.00 90.00 90.00
Fractional coordinates of all 16 atoms:
Li 0.000 0.000 0.000
Li 0.000 0.500 0.500
Li 0.500 0.000 0.500
Li 0.500 0.500 0.000
Ac 0.250 0.250 0.250
Ac 0.250 0.750 0.750
Ac 0.750 0.250 0.750
Ac 0.750 0.750 0.250
Tl 0.250 0.250 0.750
Tl 0.250 0.750 0.250
Tl 0.750 0.250 0.250
Tl 0.750 0.750 0.750
Ni 0.000 0.000 0.500
Ni 0.000 0.500 0.000
Ni 0.500 0.000 0.000
Ni 0.500 0.500 0.500

=====

First-principles (PBE) data for a relaxed Fe2AgCl crystal, as listed in Alexandria via LeMat-Bulk.

Calculated values
Size of the total moment in μB per cell: 5.56
Crystal system: monoclinic
Raw total energy in eV for the cell shown: -21.0
Uncorrected formation energy in meV per atom: 160
Density of states at the Fermi level in states/eV per atom: 0.787
Calculated volume in Å³ per atom: 16.89
Space-group type: Pm (6)

abc: 3.132 3.007 7.173
angles: 90.00 90.56 90.00
Fractional coordinates of all 4 atoms:
Fe 0.000 0.000 0.000
Fe 0.496 0.500 0.835
Ag 0.506 0.500 0.241
Cl 0.485 0.000 0.579

=====

First-principles (PBE) data for a relaxed BRuAu3 crystal, as listed in Alexandria via LeMat-Bulk.

Calculated values
Size of the total moment in μB per cell: 2.09
Crystal system: cubic
Raw total energy in eV for the cell shown: -22.3
Density of states at the Fermi level in states/eV per atom: 0.593
Calculated volume in Å³ per atom: 16.33
Formation enthalpy at 0 K in kJ/mol of formula units: 334
Space-group type: Pm-3m (221)

abc: 4.338 4.338 4.338
angles: 90.00 90.00 90.00
Fractional coordinates of all 5 atoms:
B 0.000 0.000 0.000
Ru 0.500 0.500 0.500
Au 0.000 0.000 0.500
Au 0.000 0.500 0.000
Au 0.500 0.000 0.000

=====

First-principles (PBE) data for a relaxed La2ZnCoSb crystal, as listed in Alexandria via LeMat-Bulk.

Calculated values
Size of the total moment in μB per cell: 0.00
Crystal system: tetragonal
Raw total energy in eV for the cell shown: -25.2
Uncorrected formation energy in meV per atom: -575
Density of states at the Fermi level in states/eV per atom: 0.442
Calculated volume in Å³ per atom: 25.79
Space-group type: P4/mmm (123)

abc: 5.246 5.246 4.686
angles: 90.00 90.00 90.00
Fractional coordinates of all 5 atoms:
La 0.000 0.500 0.000
La 0.500 0.000 0.000
Zn 0.000 0.000 0.500
Co 0.000 0.000 0.000
Sb 0.500 0.500 0.500

=====

First-principles (PBE) data for a relaxed LiCd2Pt crystal, as listed in Alexandria via LeMat-Bulk.

Calculated values
Size of the total moment in μB per cell: 0.00
Crystal system: tetragonal
Raw total energy in eV for the cell shown: -22.5
Density of states at the Fermi level in states/eV per atom: 0.355
Calculated volume in Å³ per atom: 17.50
Formation enthalpy at 0 K in kJ/mol of formula units: -142
Space-group type: I-4m2 (119)

abc: 4.085 4.085 8.386
angles: 90.00 90.00 90.00
Fractional coordinates of all 8 atoms:
Li 0.000 0.000 0.000
Li 0.500 0.500 0.500
Cd 0.000 0.000 0.500
Cd 0.000 0.500 0.750
Cd 0.500 0.000 0.250
Cd 0.500 0.500 0.000
Pt 0.000 0.500 0.250
Pt 0.500 0.000 0.750

=====

First-principles (PBE) data for a relaxed HgIrRu2 crystal, as listed in Alexandria via LeMat-Bulk.

Calculated values
Size of the total moment in μB per cell: 0.00
Crystal system: orthorhombic
Raw total energy in eV for the cell shown: -26.1
Density of states at the Fermi level in states/eV per atom: 1.125
Calculated volume in Å³ per atom: 15.98
Formation enthalpy at 0 K in kJ/mol of formula units: 153
Space-group type: Pmmm (47)

abc: 2.755 3.789 6.125
angles: 90.00 90.00 90.00
Fractional coordinates of all 4 atoms:
Hg 0.000 0.000 0.000
Ir 0.000 0.000 0.500
Ru 0.500 0.500 0.287
Ru 0.500 0.500 0.713

=====

First-principles (PBE) data for a relaxed Mg2TlRu crystal, as listed in Alexandria via LeMat-Bulk.

Calculated values
Size of the total moment in μB per cell: 0.00
Crystal system: tetragonal
Raw total energy in eV for the cell shown: -28.8
Density of states at the Fermi level in states/eV per atom: 0.838
Calculated volume in Å³ per atom: 18.42
Formation enthalpy at 0 K in kJ/mol of formula units: 41
Space-group type: I4/mmm (139)

abc: 4.098 4.098 8.775
angles: 90.00 90.00 90.00
Fractional coordinates of all 8 atoms:
Mg 0.000 0.500 0.250
Mg 0.000 0.500 0.750
Mg 0.500 0.000 0.250
Mg 0.500 0.000 0.750
Tl 0.000 0.000 0.000
Tl 0.500 0.500 0.500
Ru 0.000 0.000 0.500
Ru 0.500 0.500 0.000

=====

First-principles (PBE) data for a relaxed PmFeC crystal, as listed in Alexandria via LeMat-Bulk.

Calculated values
Size of the total moment in μB per cell: 0.00
Crystal system: monoclinic
Raw total energy in eV for the cell shown: -91.7
Density of states at the Fermi level in states/eV per atom: 0.403
Calculated volume in Å³ per atom: 15.13
Formation enthalpy at 0 K in kJ/mol of formula units: -48
Space-group type: P2_1/c (14)

abc: 5.248 6.247 6.417
angles: 90.00 120.31 90.00
Fractional coordinates of all 12 atoms:
Pm 0.152 0.075 0.338
Pm 0.152 0.425 0.838
Pm 0.848 0.575 0.162
Pm 0.848 0.925 0.662
Fe 0.432 0.626 0.603
Fe 0.432 0.874 0.103
Fe 0.568 0.126 0.897
Fe 0.568 0.374 0.397
C 0.435 0.660 0.306
C 0.435 0.840 0.806
C 0.565 0.160 0.194
C 0.565 0.340 0.694